Entry 1:
Crystalline YFe2ReTc at its relaxed geometry, computed with PBE-GGA.

Lattice parameters (Å, degrees): 4.4335 4.4335 5.2423 90.00 90.00 90.00
Closest atoms and distances in Å follow each position.
Fractional coordinates of all 5 atoms:
Y1 0.0000 0.0000 0.0000  2 Re 2.62
Fe1 0.0000 0.5000 0.5000  2 Re 2.22
Fe2 0.5000 0.0000 0.5000  2 Re 2.22
Re1 0.0000 0.0000 0.5000  4 Fe 2.22
Tc1 0.5000 0.5000 0.0000  4 Y 3.13, 8 Fe 3.43

Calculated formation energy in eV per atom: 1.53
Magnetization in μB/f.u.: 5.0

Entry 2:
Crystalline ZnFe2ReTc at its relaxed geometry, computed with PBE-GGA.

Lattice parameters (Å, degrees): 4.4819 4.4819 4.6911 90.00 90.00 90.00
Closest atoms and distances in Å follow each position.
Fractional coordinates of all 5 atoms:
Zn1 0.0000 0.0000 0.0000  4 Re 3.17, 8 Fe 3.24
Fe1 0.0000 0.5000 0.5000  2 Tc 2.24
Fe2 0.5000 0.0000 0.5000  2 Tc 2.24
Re1 0.5000 0.5000 0.0000  2 Tc 2.35
Tc1 0.5000 0.5000 0.5000  4 Fe 2.24, 2 Re 2.35

Calculated formation energy in eV per atom: 1.61
Magnetization in μB/f.u.: 4.2

Entry 3:
Crystalline ZnFeReTc at its relaxed geometry, computed with PBE-GGA.

Lattice parameters (Å, degrees): 4.2427 4.2427 4.2427 60.00 60.00 60.00
Closest atoms and distances in Å follow each position.
Fractional coordinates of all 4 atoms:
Zn1 0.0000 0.0000 0.0000  4 Tc 2.60, 4 Fe 2.60
Fe1 0.2500 0.2500 0.2500  4 Re 2.60, 4 Zn 2.60
Re1 0.5000 0.5000 0.5000  4 Fe 2.60, 4 Tc 2.60
Tc1 0.7500 0.7500 0.7500  4 Re 2.60, 4 Zn 2.60

Calculated formation energy in eV per atom: 0.15
Magnetization in μB/f.u.: 0.0

What are the energy values for these records? In order: -7.7122; -6.5918; -7.9840 eV/atom.